(1)
{
  "formula": "NbTeIr3",
  "functional": "PBE",
  "state": "optimized geometry",
  "raw_formation_energy_mev_per_atom": 1434,
  "lattice_angstrom": [[4.8119, 0.0000, 0.0000], [0.0000, 4.8119, 0.0000], [0.0000, 0.0000, 4.8119]],
  "species": ["Nb", "Te", "Ir", "Ir", "Ir"],
  "fractional_positions": [[0.0000, 0.0000, 0.0000], [0.5000, 0.5000, 0.5000], [0.0000, 0.0000, 0.5000], [0.0000, 0.5000, 0.0000], [0.5000, 0.0000, 0.0000]]
}

=====

(2)
{
  "formula": "NbTe3Ir",
  "functional": "PBE",
  "state": "optimized geometry",
  "raw_formation_energy_mev_per_atom": 1131,
  "lattice_angstrom": [[5.2715, 0.0000, 0.0000], [0.0000, 5.2715, 0.0000], [0.0000, 0.0000, 5.2715]],
  "species": ["Nb", "Te", "Te", "Te", "Ir"],
  "fractional_positions": [[0.0000, 0.0000, 0.0000], [0.0000, 0.0000, 0.5000], [0.0000, 0.5000, 0.0000], [0.5000, 0.0000, 0.0000], [0.5000, 0.5000, 0.5000]]
}

=====

We obtain N(E_F) values of 4.058, 6.684 states/eV per cell for the records listed above, in that order.